[1]
{
  "formula": "ThPaZn",
  "functional": "PBE",
  "state": "optimized geometry",
  "crystal_system": "tetragonal",
  "e_above_lowest_polymorph_mev_per_atom": 0,
  "vol_a3_per_atom": 24.3,
  "lattice_angstrom": [[3.286, 0.000, 0.000], [0.000, 3.286, 0.000], [0.000, 0.000, 13.485]],
  "species": ["Th", "Th", "Pa", "Pa", "Zn", "Zn"],
  "frac_coords": [[0.250, 0.250, 0.219], [0.750, 0.750, 0.781], [0.250, 0.250, 0.588], [0.750, 0.750, 0.412], [0.250, 0.250, 0.950], [0.750, 0.750, 0.050]]
}

[2]
{
  "formula": "ThPaZn4",
  "functional": "PBE",
  "state": "optimized geometry",
  "crystal_system": "cubic",
  "e_above_lowest_polymorph_mev_per_atom": 60,
  "vol_a3_per_atom": 19.7,
  "lattice_angstrom": [[0.000, 3.897, 3.897], [3.897, 0.000, 3.897], [3.897, 3.897, 0.000]],
  "species": ["Th", "Pa", "Zn", "Zn", "Zn", "Zn"],
  "frac_coords": [[0.000, 0.000, 0.000], [0.250, 0.250, 0.250], [0.128, 0.624, 0.624], [0.624, 0.128, 0.624], [0.624, 0.624, 0.128], [0.624, 0.624, 0.624]]
}

[3]
{
  "formula": "ThPa2Zn",
  "functional": "PBE",
  "state": "optimized geometry",
  "crystal_system": "trigonal",
  "e_above_lowest_polymorph_mev_per_atom": 300,
  "vol_a3_per_atom": 26.9,
  "lattice_angstrom": [[1.613, 0.932, 11.933], [-1.613, 0.932, 11.933], [0.000, -1.863, 11.933]],
  "species": ["Th", "Pa", "Pa", "Zn"],
  "frac_coords": [[0.000, 0.000, 0.000], [0.415, 0.415, 0.415], [0.585, 0.585, 0.585], [0.500, 0.500, 0.500]]
}

[4]
{
  "formula": "ThPa2Zn",
  "functional": "PBE",
  "state": "optimized geometry",
  "crystal_system": "tetragonal",
  "e_above_lowest_polymorph_mev_per_atom": 31,
  "vol_a3_per_atom": 24.7,
  "lattice_angstrom": [[3.226, 0.000, 0.000], [0.000, 3.226, 0.000], [0.000, 0.000, 9.496]],
  "species": ["Th", "Pa", "Pa", "Zn"],
  "frac_coords": [[0.000, 0.000, 0.000], [0.500, 0.500, 0.277], [0.500, 0.500, 0.723], [0.000, 0.000, 0.500]]
}